# 1
Br2F5 | PBE-GGA | relaxed

Cell and atoms, written as extended XYZ:
```
14
Lattice="5.707 0.000 0.000 -1.015 6.227 0.000 -0.881 -3.323 7.785" Properties=species:S:1:pos:R:3 pbc="T T T"
Br 0.807 0.238 2.189
Br 0.393 -0.655 7.161
Br 3.418 3.560 0.624
Br 3.003 2.667 5.596
F -0.294 4.588 1.591
F 0.161 -0.287 3.777
F 0.057 0.980 6.405
F 0.938 1.977 2.775
F 1.609 0.865 0.166
F 2.202 2.039 7.619
F 2.872 0.928 5.010
F 3.754 1.924 1.379
F 3.650 3.192 4.008
F 4.105 -1.684 6.194
```

Crystal system = triclinic
Formation energy from raw total energies = -842 meV/atom
Space group = No. 2

# 2
BiSb2H | PBE-GGA | relaxed

Cell and atoms, written as extended XYZ:
```
4
Lattice="0.000 3.668 3.668 3.668 0.000 3.668 3.668 3.668 0.000" Properties=species:S:1:pos:R:3 pbc="T T T"
Bi 0.000 0.000 0.000
Sb 1.834 1.834 1.834
Sb 5.502 5.502 5.502
H 3.668 3.668 3.668
```

Crystal system = cubic
Relative energy among the computed polymorphs = 181 meV/atom
Space group = No. 225

# 3
NdThPb2 | PBE-GGA | relaxed

Cell and atoms, written as extended XYZ:
```
4
Lattice="0.000 3.946 3.946 3.946 0.000 3.946 3.946 3.946 0.000" Properties=species:S:1:pos:R:3 pbc="T T T"
Nd 0.000 0.000 0.000
Th 3.946 3.946 3.946
Pb 1.973 1.973 1.973
Pb 5.919 5.919 5.919
```

Crystal system = cubic
Relative energy among the computed polymorphs = 133 meV/atom
Space group = No. 225